Entry a
DFT (PBE-GGA) results for an optimized crystal structure of MgCr2Se.

Structure (extended XYZ):
```
4
Lattice="-2.8764 1.1104 3.5964 -0.5724 -4.6752 -0.5054 2.4514 -0.5298 2.1242" Properties=species:S:1:pos:R:3 pbc="T T T"
Se 0.9395 -2.6025 0.8094
Mg -0.2125 0.2903 2.8603
Cr -1.7244 -1.7824 1.5455
Cr 0.0000 0.0000 0.0000
```

Properties
The space-group type is Cmmm. The value obtained for the total magnetization is 7.76 μB/f.u.

Entry b
DFT (PBE-GGA) results for an optimized crystal structure of MgCr2Se.

Structure (extended XYZ):
```
4
Lattice="3.3870 0.6695 0.0000 -0.6696 3.3870 0.0000 0.0000 0.0000 6.0070" Properties=species:S:1:pos:R:3 pbc="T T T"
Cr 0.0000 0.0000 5.9442
Cr 0.0000 0.0000 3.0663
Se 1.3587 2.0282 4.5052
Mg 1.3587 2.0282 1.5017
```

Properties
The space-group type is P4/mmm. The value obtained for the total magnetization is 7.95 μB/f.u.

Least stable: entry a

Entry a
DFT (PBE-GGA) results for an optimized crystal structure of MgZnCrSn.

Structure (extended XYZ):
```
4
Lattice="4.2995 0.0000 0.0000 0.0000 4.1194 0.0000 0.0000 0.0000 4.0845" Properties=species:S:1:pos:R:3 pbc="T T T"
Sn 2.1498 0.0000 2.0423
Mg 0.0000 2.0597 2.0423
Cr 2.1498 2.0597 0.0000
Zn 0.0000 0.0000 0.0000
```

Properties
The space-group type is Pmmm. The value obtained for the total magnetization is 3.34 μB/f.u.

Entry b
DFT (PBE-GGA) results for an optimized crystal structure of MgZnCrSn.

Structure (extended XYZ):
```
4
Lattice="4.6450 0.0000 0.1774 0.0000 3.3082 0.0000 -1.3805 0.0000 4.8412" Properties=species:S:1:pos:R:3 pbc="T T T"
Mg 1.6323 0.0000 2.5093
Sn 0.0000 0.0000 0.0000
Zn -0.6903 1.6541 2.4206
Cr 2.3225 1.6541 0.0887
```

Properties
The space-group type is P2/m. The value obtained for the total magnetization is 3.38 μB/f.u.

Entry c
DFT (PBE-GGA) results for an optimized crystal structure of MgZnCrSn.

Structure (extended XYZ):
```
4
Lattice="4.7200 0.0000 0.0000 2.3600 4.0876 0.0000 2.3600 1.3625 3.8539" Properties=species:S:1:pos:R:3 pbc="T T T"
Zn 7.0800 4.0876 2.8904
Sn 2.3600 1.3625 0.9635
Mg 0.0000 0.0000 0.0000
Cr 4.7200 2.7251 1.9269
```

Properties
The space-group type is F-43m. The value obtained for the total magnetization is 3.69 μB/f.u.

Least stable: entry b

Entry a
DFT (PBE-GGA) results for an optimized crystal structure of MgZnCrSn.

Structure (extended XYZ):
```
4
Lattice="3.3363 0.0000 -0.1975 0.0000 4.5969 0.0000 -1.8141 0.0000 5.2355" Properties=species:S:1:pos:R:3 pbc="T T T"
Cr 0.5410 2.2985 0.6709
Zn -1.2226 0.0000 4.6086
Mg 2.3192 0.0000 1.5716
Sn 0.2397 2.2985 3.4619
```

Properties
The space-group type is Pm. The value obtained for the total magnetization is 3.62 μB/f.u.

Entry b
DFT (PBE-GGA) results for an optimized crystal structure of MgZnCrSn.

Structure (extended XYZ):
```
8
Lattice="-0.0533 1.9371 3.7337 -0.5561 -3.7044 1.9140 8.0740 -0.9088 0.5868" Properties=species:S:1:pos:R:3 pbc="T T T"
Mg 6.0288 0.2870 2.3070
Mg 1.7405 -2.0794 1.1037
Sn 4.0370 -0.4544 0.2934
Sn -0.3047 -0.8837 2.8238
Cr 5.7775 -2.5338 1.3971
Cr 1.9918 0.7414 2.0135
Zn 0.0000 0.0000 0.0000
Zn 3.7323 -1.3381 3.1172
```

Properties
The space-group type is I-4m2. The value obtained for the total magnetization is 3.26 μB/f.u.

Entry c
DFT (PBE-GGA) results for an optimized crystal structure of MgZnCrSn.

Structure (extended XYZ):
```
8
Lattice="4.5353 0.0000 0.0000 0.0000 3.2913 0.0000 0.0000 0.0000 9.9357" Properties=species:S:1:pos:R:3 pbc="T T T"
Zn 2.2677 0.0000 7.3399
Zn 0.0000 1.6457 2.3721
Sn 0.0000 0.0000 9.7720
Sn 2.2677 1.6457 4.8041
Mg 0.0000 1.6457 7.0079
Mg 2.2677 0.0000 2.0400
Cr 0.0000 0.0000 4.4788
Cr 2.2677 1.6457 9.4466
```

Properties
The space-group type is Imm2. The value obtained for the total magnetization is 3.03 μB/f.u.

Least stable: entry a

Entry a
DFT (PBE-GGA) results for an optimized crystal structure of MgZnCrSn.

Structure (extended XYZ):
```
4
Lattice="-4.5100 0.4576 0.4903 0.1078 -1.7729 2.6463 0.7362 4.2431 2.8126" Properties=species:S:1:pos:R:3 pbc="T T T"
Sn 0.2887 0.4669 2.2203
Mg 0.5992 3.4534 2.2891
Cr -2.1317 0.9393 0.7161
Zn -1.6825 2.3312 3.5495
```

Properties
The space-group type is Pmm2. The value obtained for the total magnetization is 3.45 μB/f.u.

Entry b
DFT (PBE-GGA) results for an optimized crystal structure of MgZnCrSn.

Structure (extended XYZ):
```
4
Lattice="3.3730 0.0000 0.0000 0.0000 3.3730 0.0000 0.0000 0.0000 6.5623" Properties=species:S:1:pos:R:3 pbc="T T T"
Sn 1.6865 1.6865 2.9101
Zn 1.6865 1.6865 5.8946
Cr 0.0000 0.0000 4.5649
Mg 0.0000 0.0000 0.9161
```

Properties
The space-group type is P4mm. The value obtained for the total magnetization is 3.30 μB/f.u.

Least stable: entry a

Entry a
DFT (PBE-GGA) results for an optimized crystal structure of SrMgCr.

Structure (extended XYZ):
```
3
Lattice="-2.8177 1.9902 -3.9171 -4.9220 1.5225 0.8365 -1.2019 5.0792 -0.0323" Properties=species:S:1:pos:R:3 pbc="T T T"
Sr -4.4708 4.2960 -1.5564
Cr -6.7062 6.4440 -2.3346
Mg 0.0000 0.0000 0.0000
```

Properties
The space-group type is F-43m. The value obtained for the total magnetization is 4.72 μB/f.u.

Entry b
DFT (PBE-GGA) results for an optimized crystal structure of SrMgCr.

Structure (extended XYZ):
```
3
Lattice="-4.2491 3.3799 -0.2265 -2.2805 1.1805 -4.7891 -4.9385 -1.9208 -1.2048" Properties=species:S:1:pos:R:3 pbc="T T T"
Cr 0.0000 0.0000 0.0000
Sr -8.6011 1.9797 -4.6653
Mg -5.7341 1.3198 -3.1102
```

Properties
The space-group type is F-43m. The value obtained for the total magnetization is 4.90 μB/f.u.

Least stable: entry b

Entry a
DFT (PBE-GGA) results for an optimized crystal structure of SrMgCr.

Structure (extended XYZ):
```
3
Lattice="6.4784 -0.0025 -0.0253 4.2096 4.9243 0.0253 -5.3350 -2.4804 2.7121" Properties=species:S:1:pos:R:3 pbc="T T T"
Sr 7.0711 3.2562 0.0000
Cr 10.3739 4.7771 0.0000
Mg 3.9311 1.8103 0.0000
```

Properties
The space-group type is I4mm. The value obtained for the total magnetization is 4.49 μB/f.u.

Entry b
DFT (PBE-GGA) results for an optimized crystal structure of SrMgCr.

Structure (extended XYZ):
```
3
Lattice="5.1819 0.0000 0.0000 -2.5910 4.4877 0.0000 0.0000 0.0000 3.9524" Properties=species:S:1:pos:R:3 pbc="T T T"
Mg 2.5910 1.4959 0.6626
Cr 0.0000 0.0000 0.6568
Sr 0.0000 2.9918 2.6331
```

Properties
The space-group type is P3m1. The value obtained for the total magnetization is 4.74 μB/f.u.

Least stable: entry b

Entry a
DFT (PBE-GGA) results for an optimized crystal structure of MgTaCr3.

Structure (extended XYZ):
```
5
Lattice="4.7605 0.0000 0.0000 0.0000 4.7605 0.0000 0.0000 0.0000 4.7605" Properties=species:S:1:pos:R:3 pbc="T T T"
Cr 2.3802 0.0000 0.0000
Cr 0.0000 2.3802 0.0000
Cr 0.0000 0.0000 2.3802
Mg 2.3802 2.3802 2.3802
Ta 0.0000 0.0000 0.0000
```

Properties
The space-group type is Pm-3m. The value obtained for the total magnetization is 8.80 μB/f.u.

Entry b
DFT (PBE-GGA) results for an optimized crystal structure of MgTaCr3.

Structure (extended XYZ):
```
5
Lattice="4.4261 0.0000 0.0000 0.0000 4.4261 0.0000 0.0000 0.0000 4.4261" Properties=species:S:1:pos:R:3 pbc="T T T"
Ta 2.2130 2.2130 2.2130
Cr 0.0000 0.0000 2.2130
Cr 2.2130 0.0000 0.0000
Cr 0.0000 2.2130 0.0000
Mg 0.0000 0.0000 0.0000
```

Properties
The space-group type is Pm-3m. The value obtained for the total magnetization is 7.32 μB/f.u.

Least stable: entry b

Entry a
DFT (PBE-GGA) results for an optimized crystal structure of Mg2CrTc.

Structure (extended XYZ):
```
4
Lattice="2.6273 0.0000 0.0000 0.0000 4.4752 0.0000 0.0000 0.0000 5.2471" Properties=species:S:1:pos:R:3 pbc="T T T"
Tc 1.3136 2.2376 1.3118
Mg 0.0000 0.0000 2.6276
Mg 0.0000 0.0000 5.2431
Cr 1.3136 2.2376 3.9353
```

Properties
The space-group type is Pmmm. The value obtained for the total magnetization is 0.01 μB/f.u.

Entry b
DFT (PBE-GGA) results for an optimized crystal structure of Mg2CrTc.

Structure (extended XYZ):
```
4
Lattice="9.5605 0.0008 0.0005 9.1513 2.7670 0.0005 9.1513 1.3537 2.4133" Properties=species:S:1:pos:R:3 pbc="T T T"
Cr 20.8974 3.0911 1.8107
Tc 6.9658 1.0304 0.6036
Mg 13.9395 2.0619 1.2078
Mg 27.8553 4.1203 2.4136
```

Properties
The space-group type is R-3m. The value obtained for the total magnetization is 1.55 μB/f.u.

Entry c
DFT (PBE-GGA) results for an optimized crystal structure of Mg2CrTc.

Structure (extended XYZ):
```
4
Lattice="4.4489 0.0000 0.0000 2.2245 3.8529 0.0000 2.2245 1.2843 3.6325" Properties=species:S:1:pos:R:3 pbc="T T T"
Mg 6.6734 3.8529 2.7244
Mg 0.0000 0.0000 0.0000
Tc 2.2245 1.2843 0.9081
Cr 4.4489 2.5686 1.8163
```

Properties
The space-group type is F-43m. The value obtained for the total magnetization is 0.98 μB/f.u.

Least stable: entry b